# Cs5Tb2Br12

Cs5Tb2Br12 after structural relaxation (PBE, Alexandria).

abc: 10.792 10.792 11.860
angles: 106.67 106.67 45.80
Positions (direct):
Cs  0.000  0.000  0.000
Cs  0.297  0.297  0.144
Cs  0.306  0.306  0.657
Cs  0.694  0.694  0.343
Cs  0.703  0.703  0.856
Tb  0.249  0.751  0.500
Tb  0.751  0.249  0.500
Br  0.002  0.002  0.666
Br  0.108  0.599  0.429
Br  0.131  0.575  0.927
Br  0.401  0.892  0.571
Br  0.425  0.869  0.073
Br  0.497  0.497  0.333
Br  0.503  0.503  0.667
Br  0.575  0.131  0.927
Br  0.599  0.108  0.429
Br  0.869  0.425  0.073
Br  0.892  0.401  0.571
Br  0.998  0.998  0.334

Values from the calculation:
symmetry = No. 12
formation energy without anion corrections = -1.707 eV/atom